Version A
A plane-wave DFT calculation with GGA-PBE was carried out for a relaxed BeRuIN2 crystal.

Calculated values
M_tot = 0.313 μB/f.u.
symmetry = No. 123
crystal system = tetragonal

Cell and atoms, written as POSCAR:
```
BeRuIN2
1.0
3.792 0.000 0.000
0.000 3.792 0.000
0.000 0.000 5.889
Be Ru I N
1 1 1 2
direct
0.000 0.000 0.000
0.500 0.500 0.500
0.500 0.500 0.000
0.000 0.500 0.500
0.500 0.000 0.500
```

Version B
A plane-wave DFT calculation with GGA-PBE was carried out for a relaxed BeRuIN2 crystal.

Calculated values
M_tot = 1.697 μB/f.u.
symmetry = No. 123
crystal system = tetragonal

Cell and atoms, written as POSCAR:
```
BeRuIN2
1.0
3.635 0.000 0.000
0.000 3.635 0.000
0.000 0.000 5.476
Be Ru I N
1 1 1 2
direct
0.000 0.000 0.000
0.500 0.500 0.500
0.000 0.000 0.500
0.000 0.500 0.000
0.500 0.000 0.000
```

What should be chosen as the most stable of them? Choose version A.

Version A
A plane-wave DFT calculation with GGA-PBE was carried out for a relaxed BeRuI2N crystal.

Calculated values
M_tot = 0.000 μB/f.u.
symmetry = No. 123
crystal system = tetragonal

Cell and atoms, written as POSCAR:
```
BeRuI2N
1.0
5.506 0.000 0.000
0.000 5.506 0.000
0.000 0.000 3.711
Be Ru I N
1 1 2 1
direct
0.000 0.000 0.000
0.500 0.500 0.500
0.000 0.500 0.500
0.500 0.000 0.500
0.500 0.500 0.000
```

Version B
A plane-wave DFT calculation with GGA-PBE was carried out for a relaxed BeRuI2N crystal.

Calculated values
M_tot = 0.000 μB/f.u.
symmetry = No. 123
crystal system = tetragonal

Cell and atoms, written as POSCAR:
```
BeRuI2N
1.0
5.291 0.000 0.000
0.000 5.291 0.000
0.000 0.000 3.143
Be Ru I N
1 1 2 1
direct
0.000 0.000 0.000
0.500 0.500 0.500
0.000 0.500 0.000
0.500 0.000 0.000
0.000 0.000 0.500
```

What should be chosen as the most stable of them? Choose version A.

Version A
A plane-wave DFT calculation with GGA-PBE was carried out for a relaxed BeS2IN crystal.

Calculated values
M_tot = 1.587 μB/f.u.
symmetry = No. 123
crystal system = tetragonal

Cell and atoms, written as POSCAR:
```
BeS2IN
1.0
4.859 0.000 0.000
0.000 4.859 0.000
0.000 0.000 3.407
Be S I N
1 2 1 1
direct
0.000 0.000 0.000
0.000 0.500 0.000
0.500 0.000 0.000
0.500 0.500 0.500
0.000 0.000 0.500
```

Version B
A plane-wave DFT calculation with GGA-PBE was carried out for a relaxed BeS2IN crystal.

Calculated values
M_tot = 0.000 μB/f.u.
symmetry = No. 123
crystal system = tetragonal

Cell and atoms, written as POSCAR:
```
BeS2IN
1.0
5.161 0.000 0.000
0.000 5.161 0.000
0.000 0.000 3.896
Be S I N
1 2 1 1
direct
0.000 0.000 0.000
0.000 0.500 0.500
0.500 0.000 0.500
0.500 0.500 0.500
0.500 0.500 0.000
```

What should be chosen as the most stable of them? Choose version A.